(1)
A plane-wave DFT calculation with PBE was carried out for an optimized crystal structure of NaUCu2O8.

Its formation energy from raw total energies is -1.045 eV/atom. As for the mass density: 5430 kg/m³.

abc: 5.897 5.897 5.897
angles: 108.91 108.91 110.60
Atoms (fractional coordinates):
Na 0.250 0.750 0.500
U 0.000 0.000 0.000
Cu 0.750 0.250 0.500
Cu 0.500 0.500 0.000
O 0.360 0.067 0.294
O 0.296 0.462 0.166
O 0.296 0.130 0.834
O 0.773 0.067 0.706
O 0.870 0.704 0.166
O 0.933 0.227 0.294
O 0.933 0.640 0.706
O 0.538 0.704 0.834



(2)
A plane-wave DFT calculation with PBE was carried out for an optimized crystal structure of NaUCuO5.

Its formation energy from raw total energies is -1.948 eV/atom. As for the mass density: 5877 kg/m³.

abc: 5.738 5.738 7.994
angles: 101.06 101.06 112.29
Atoms (fractional coordinates):
Na 0.323 0.677 0.250
Na 0.677 0.323 0.750
U 0.000 0.000 0.500
U 0.000 0.000 0.000
Cu 0.666 0.334 0.250
Cu 0.334 0.666 0.750
O 0.080 0.920 0.250
O 0.920 0.080 0.750
O 0.837 0.244 0.089
O 0.163 0.756 0.911
O 0.756 0.163 0.411
O 0.244 0.837 0.589
O 0.694 0.636 0.413
O 0.306 0.364 0.587
O 0.364 0.306 0.087
O 0.636 0.694 0.913